[1]
This record from the Alexandria database describes a relaxed FeAs2I crystal. The functional is GGA-PBE.

```
8
Lattice="6.223 0.000 0.000 0.000 6.223 0.000 3.111 3.111 5.506" Properties=species:S:1:pos:R:3 pbc="T T T"
I 0.000 0.000 0.000
I 6.223 3.111 2.753
As 3.809 1.556 1.377
As 2.414 4.667 1.377
As 4.667 5.525 4.130
As 7.778 6.920 4.130
Fe 3.111 3.111 0.000
Fe 3.111 6.223 2.753
```

Calculated values
Symmetry: No. 122
Energy relative to the elements, uncorrected, eV/f.u.: 1.040
Magnetization, Bohr magnetons per cell: 0.000
Raw total energy, eV/cell: -36.544

=====

[2]
This record from the Alexandria database describes a relaxed FeAs2I8 crystal. The functional is GGA-PBE.

```
11
Lattice="11.586 0.000 0.000 -5.793 6.246 0.276 0.000 1.809 7.624" Properties=species:S:1:pos:R:3 pbc="T T T"
I 9.589 1.512 1.575
I 1.998 1.512 1.575
I -3.795 6.542 6.324
I 0.000 5.128 1.867
I 3.795 6.542 6.324
I 5.793 4.235 2.056
I 0.000 3.820 5.844
I 5.793 2.927 6.033
As 5.793 5.300 4.993
As 0.000 2.755 2.907
Fe 0.000 0.000 0.000
```

Calculated values
Symmetry: No. 12
Energy relative to the elements, uncorrected, eV/f.u.: -0.726
Magnetization, Bohr magnetons per cell: 4.000
Raw total energy, eV/cell: -30.889

=====

[3]
This record from the Alexandria database describes a relaxed Fe2AsI crystal. The functional is GGA-PBE.

```
8
Lattice="5.908 0.000 0.000 0.000 5.908 0.000 2.954 2.954 5.452" Properties=species:S:1:pos:R:3 pbc="T T T"
I 0.000 0.000 0.000
I 5.908 2.954 2.726
As 2.954 2.954 0.000
As 2.954 5.908 2.726
Fe 4.183 1.477 1.363
Fe 1.725 4.431 1.363
Fe 4.431 4.678 4.089
Fe 7.385 7.137 4.089
```

Calculated values
Symmetry: No. 122
Energy relative to the elements, uncorrected, eV/f.u.: 2.002
Magnetization, Bohr magnetons per cell: 11.540
Raw total energy, eV/cell: -42.247

=====

[4]
This record from the Alexandria database describes a relaxed Fe2AsI2 crystal. The functional is GGA-PBE.

```
5
Lattice="5.273 0.000 0.000 0.000 5.273 0.000 2.637 2.637 6.191" Properties=species:S:1:pos:R:3 pbc="T T T"
I 5.273 2.637 3.096
I 2.637 5.273 3.096
As 0.000 0.000 0.000
Fe 2.637 2.637 4.014
Fe 5.273 5.273 2.178
```

Calculated values
Symmetry: No. 139
Energy relative to the elements, uncorrected, eV/f.u.: 2.583
Magnetization, Bohr magnetons per cell: 4.748
Raw total energy, eV/cell: -22.092

=====

[5]
This record from the Alexandria database describes a relaxed FeAs2I crystal. The functional is GGA-PBE.

```
4
Lattice="2.211 1.947 3.733 0.069 4.726 0.524 -2.536 2.046 3.464" Properties=species:S:1:pos:R:3 pbc="T T T"
I -0.129 4.359 3.860
As -0.064 2.180 1.930
As -0.193 6.539 5.791
Fe 0.000 0.000 0.000
```

Calculated values
Symmetry: No. 225
Energy relative to the elements, uncorrected, eV/f.u.: 4.521
Magnetization, Bohr magnetons per cell: 0.000
Raw total energy, eV/cell: -14.790

=====

[6]
This record from the Alexandria database describes a relaxed Fe3AsI crystal. The functional is GGA-PBE.

```
5
Lattice="4.730 0.000 0.000 0.000 4.730 0.000 0.000 0.000 4.730" Properties=species:S:1:pos:R:3 pbc="T T T"
I 0.000 0.000 0.000
As 2.365 2.365 2.365
Fe 0.000 2.365 0.000
Fe 0.000 0.000 2.365
Fe 2.365 0.000 0.000
```

Calculated values
Symmetry: No. 221
Energy relative to the elements, uncorrected, eV/f.u.: 7.671
Magnetization, Bohr magnetons per cell: 7.713
Raw total energy, eV/cell: -23.917

=====

[7]
This record from the Alexandria database describes a relaxed Fe3AsI crystal. The functional is GGA-PBE.

```
5
Lattice="4.702 0.000 0.000 0.000 4.702 0.000 0.000 0.000 4.702" Properties=species:S:1:pos:R:3 pbc="T T T"
I 2.351 2.351 2.351
As 0.000 0.000 0.000
Fe 0.000 2.351 0.000
Fe 0.000 0.000 2.351
Fe 2.351 0.000 0.000
```

Calculated values
Symmetry: No. 221
Energy relative to the elements, uncorrected, eV/f.u.: 3.913
Magnetization, Bohr magnetons per cell: 9.982
Raw total energy, eV/cell: -27.674

=====

[8]
This record from the Alexandria database describes a relaxed Fe2AsIrI crystal. The functional is GGA-PBE.

```
5
Lattice="-1.901 -4.638 0.741 1.178 -1.156 -4.217 4.508 -1.577 1.691" Properties=species:S:1:pos:R:3 pbc="T T T"
I 1.892 -3.686 -0.892
As 0.589 -0.578 -2.108
Ir 0.000 0.000 0.000
Fe 2.254 -0.789 0.846
Fe -0.950 -2.319 0.371
```

Calculated values
Symmetry: No. 123
Energy relative to the elements, uncorrected, eV/f.u.: 3.702
Magnetization, Bohr magnetons per cell: 7.675
Raw total energy, eV/cell: -28.284